A plane-wave DFT calculation with GGA-PBE was carried out for a geometry-optimized K2NdGaTe4 structure.

Its total moment is 0.00 Bohr magnetons per cell. Its uncorrected energy is -0.13559 hartree per atom. The uncorrected formation energy is -870 meV per atom.

It has space group C2/c (No. 15), with a = 12.922 Å, b = 13.393 Å, c = 8.940 Å, α = 90.00°, β = 132.45° and γ = 90.00°. The inequivalent atoms are K at (0.000, 0.000, 0.000), K at (0.250, 0.250, 0.000), Nd at (0.250, 0.250, 0.500), Ga at (0.000, 0.500, 0.000), Te at (0.002, 0.262, 0.019) and Te at (0.201, 0.492, 0.472).